(1)
Density functional theory data (GGA-PBE) for an optimized crystal structure of Sm2Dy5Ho2. Values from VASP.

```
&SYSTEM
  ibrav = 0, nat = 18, ntyp = 3
/
ATOMIC_SPECIES
Sm 150.36 Sm.upf
Dy 162.50 Dy.upf
Ho 164.93 Ho.upf
CELL_PARAMETERS angstrom
11.764 0.000 0.000
0.000 6.710 0.000
-5.882 -3.355 7.430
ATOMIC_POSITIONS crystal
Sm 0.000 0.017 0.000
Sm 0.500 0.517 0.000
Sm 0.260 0.356 0.500
Sm 0.740 0.856 0.500
Dy 0.201 0.654 0.896
Dy 0.799 0.758 0.104
Dy 0.195 0.154 0.896
Dy 0.805 0.258 0.104
Dy 0.379 0.035 0.286
Dy 0.621 0.750 0.714
Dy 0.407 0.535 0.286
Dy 0.593 0.250 0.714
Dy 0.003 0.651 0.500
Dy 0.997 0.151 0.500
Ho 0.125 0.684 0.254
Ho 0.875 0.431 0.746
Ho 0.629 0.184 0.254
Ho 0.371 0.931 0.746
```

- Formation energy: 0.2208 eV/atom
- Theoretical density: 8.17 Mg/m³
- Volume: 586.5 Å³ per cell
- Offset from the most stable computed form: 0.000 eV per atom
- SG: Ima2, No. 46

(2)
Density functional theory data (GGA-PBE) for an optimized crystal structure of Sm2Dy2Ho5. Values from VASP.

```
&SYSTEM
  ibrav = 0, nat = 18, ntyp = 3
/
ATOMIC_SPECIES
Sm 150.36 Sm.upf
Dy 162.50 Dy.upf
Ho 164.93 Ho.upf
CELL_PARAMETERS angstrom
11.745 0.000 0.000
0.000 6.701 0.000
-5.872 -3.351 7.431
ATOMIC_POSITIONS crystal
Sm 0.000 0.013 0.000
Sm 0.500 0.513 0.000
Sm 0.261 0.357 0.500
Sm 0.739 0.857 0.500
Dy 0.123 0.684 0.254
Dy 0.877 0.430 0.746
Dy 0.631 0.184 0.254
Dy 0.369 0.930 0.746
Ho 0.202 0.654 0.895
Ho 0.798 0.759 0.105
Ho 0.193 0.154 0.895
Ho 0.807 0.259 0.105
Ho 0.379 0.036 0.285
Ho 0.621 0.751 0.715
Ho 0.406 0.536 0.285
Ho 0.594 0.251 0.715
Ho 0.002 0.651 0.500
Ho 0.998 0.151 0.500
```

- Formation energy: 0.2198 eV/atom
- Theoretical density: 8.24 Mg/m³
- Volume: 584.8 Å³ per cell
- Offset from the most stable computed form: 0.000 eV per atom
- SG: Ima2, No. 46

(3)
Density functional theory data (GGA-PBE) for an optimized crystal structure of Sm15DyHo4. Values from VASP.

```
&SYSTEM
  ibrav = 0, nat = 20, ntyp = 3
/
ATOMIC_SPECIES
Sm 150.36 Sm.upf
Dy 162.50 Dy.upf
Ho 164.93 Ho.upf
CELL_PARAMETERS angstrom
5.099 0.000 0.000
0.000 5.099 0.000
0.000 0.000 25.415
ATOMIC_POSITIONS crystal
Sm 0.500 0.500 0.000
Sm 0.500 0.500 0.200
Sm 0.500 0.500 0.400
Sm 0.500 0.500 0.600
Sm 0.500 0.500 0.800
Sm 0.500 0.000 0.100
Sm 0.500 0.000 0.300
Sm 0.500 0.000 0.500
Sm 0.500 0.000 0.700
Sm 0.500 0.000 0.900
Sm 0.000 0.500 0.100
Sm 0.000 0.500 0.300
Sm 0.000 0.500 0.500
Sm 0.000 0.500 0.700
Sm 0.000 0.500 0.900
Dy 0.000 0.000 0.000
Ho 0.000 0.000 0.200
Ho 0.000 0.000 0.400
Ho 0.000 0.000 0.600
Ho 0.000 0.000 0.800
```

- Formation energy: 0.0154 eV/atom
- Theoretical density: 7.73 Mg/m³
- Volume: 660.8 Å³ per cell
- SG: P4/mmm, No. 123

(4)
Density functional theory data (GGA-PBE) for an optimized crystal structure of Sm2Dy7Ho3. Values from VASP.

```
&SYSTEM
  ibrav = 0, nat = 12, ntyp = 3
/
ATOMIC_SPECIES
Sm 150.36 Sm.upf
Dy 162.50 Dy.upf
Ho 164.93 Ho.upf
CELL_PARAMETERS angstrom
3.510 0.000 0.000
0.000 6.271 0.754
0.000 2.358 17.698
ATOMIC_POSITIONS crystal
Sm 0.500 0.613 0.327
Sm 0.500 0.387 0.673
Dy 0.500 0.243 0.501
Dy 0.500 0.757 0.499
Dy 0.000 0.561 0.164
Dy 0.000 0.000 0.000
Dy 0.000 0.439 0.836
Dy 0.500 0.941 0.833
Dy 0.500 0.059 0.167
Ho 0.500 0.500 0.000
Ho 0.000 0.109 0.342
Ho 0.000 0.891 0.658
```

- Formation energy: 0.0761 eV/atom
- Theoretical density: 8.37 Mg/m³
- Volume: 383.4 Å³ per cell
- SG: P2/m, No. 10

(5)
Density functional theory data (GGA-PBE) for an optimized crystal structure of Sm2Dy3Ho5. Values from VASP.

```
&SYSTEM
  ibrav = 0, nat = 20, ntyp = 3
/
ATOMIC_SPECIES
Sm 150.36 Sm.upf
Dy 162.50 Dy.upf
Ho 164.93 Ho.upf
CELL_PARAMETERS angstrom
-2.342 -8.374 3.540
6.450 -3.073 6.142
-5.954 9.302 1.045
ATOMIC_POSITIONS crystal
Sm 0.778 0.013 0.745
Sm 0.222 0.987 0.255
Sm 0.467 0.731 0.745
Sm 0.533 0.269 0.255
Dy 0.229 0.979 0.957
Dy 0.771 0.021 0.043
Dy 0.730 0.464 0.244
Dy 0.270 0.536 0.756
Dy 0.013 0.779 0.244
Dy 0.987 0.221 0.756
Ho 0.277 0.527 0.054
Ho 0.723 0.473 0.946
Ho 0.019 0.769 0.538
Ho 0.525 0.275 0.550
Ho 0.981 0.231 0.462
Ho 0.475 0.725 0.450
Ho 0.864 0.610 0.757
Ho 0.136 0.390 0.243
Ho 0.393 0.147 0.757
Ho 0.607 0.853 0.243
```

- Formation energy: 0.1988 eV/atom
- Theoretical density: 8.22 Mg/m³
- Volume: 651.6 Å³ per cell
- Offset from the most stable computed form: 0.000 eV per atom
- SG: C2/c, No. 15

(6)
Density functional theory data (GGA-PBE) for an optimized crystal structure of SmDy4Ho4. Values from VASP.

```
&SYSTEM
  ibrav = 0, nat = 18, ntyp = 3
/
ATOMIC_SPECIES
Sm 150.36 Sm.upf
Dy 162.50 Dy.upf
Ho 164.93 Ho.upf
CELL_PARAMETERS angstrom
7.446 -3.939 1.783
-3.835 8.703 1.344
2.550 2.693 13.472
ATOMIC_POSITIONS crystal
Sm 0.502 0.528 0.714
Sm 0.498 0.472 0.286
Dy 0.261 0.925 0.463
Dy 0.211 0.874 0.040
Dy 0.412 0.745 0.870
Dy 0.072 0.407 0.203
Dy 0.928 0.593 0.797
Dy 0.588 0.255 0.130
Dy 0.789 0.126 0.960
Dy 0.739 0.075 0.537
Ho 0.124 0.460 0.625
Ho 0.457 0.790 0.292
Ho 0.158 0.136 0.620
Ho 0.176 0.198 0.046
Ho 0.842 0.864 0.380
Ho 0.824 0.802 0.954
Ho 0.876 0.540 0.375
Ho 0.543 0.210 0.708
```

- Formation energy: 0.0376 eV/atom
- Theoretical density: 8.49 Mg/m³
- Volume: 570.9 Å³ per cell
- Offset from the most stable computed form: 0.019 eV per atom
- SG: P-1, No. 2

(7)
Density functional theory data (GGA-PBE) for an optimized crystal structure of SmDyHo. Values from VASP.

```
&SYSTEM
  ibrav = 0, nat = 3, ntyp = 3
/
ATOMIC_SPECIES
Ho 164.93 Ho.upf
Sm 150.36 Sm.upf
Dy 162.50 Dy.upf
CELL_PARAMETERS angstrom
3.562 0.000 0.000
0.000 3.562 0.000
-1.781 -1.781 7.567
ATOMIC_POSITIONS crystal
Ho 0.668 0.668 0.335
Sm 0.000 0.000 0.000
Dy 0.332 0.332 0.664
```

- Formation energy: 0.0197 eV/atom
- Theoretical density: 8.26 Mg/m³
- Volume: 96.0 Å³ per cell
- Offset from the most stable computed form: 0.011 eV per atom
- SG: I4mm, No. 107

(8)
Density functional theory data (GGA-PBE) for an optimized crystal structure of SmDyHo3. Values from VASP.

```
&SYSTEM
  ibrav = 0, nat = 10, ntyp = 3
/
ATOMIC_SPECIES
Sm 150.36 Sm.upf
Dy 162.50 Dy.upf
Ho 164.93 Ho.upf
CELL_PARAMETERS angstrom
3.598 -0.002 0.000
-1.790 8.322 0.000
0.000 0.000 11.542
ATOMIC_POSITIONS crystal
Sm 0.989 0.484 0.250
Sm 0.011 0.516 0.750
Dy 0.318 0.140 0.250
Dy 0.682 0.860 0.750
Ho 0.844 0.188 0.000
Ho 0.156 0.812 0.000
Ho 0.844 0.188 0.500
Ho 0.156 0.812 0.500
Ho 0.659 0.821 0.250
Ho 0.341 0.179 0.750
```

- Formation energy: 0.3067 eV/atom
- Theoretical density: 7.76 Mg/m³
- Volume: 345.5 Å³ per cell
- Offset from the most stable computed form: 0.297 eV per atom
- SG: P2_1/m, No. 11

(9)
Density functional theory data (GGA-PBE) for an optimized crystal structure of Sm4Dy5Ho2. Values from VASP.

```
&SYSTEM
  ibrav = 0, nat = 11, ntyp = 3
/
ATOMIC_SPECIES
Sm 150.36 Sm.upf
Dy 162.50 Dy.upf
Ho 164.93 Ho.upf
CELL_PARAMETERS angstrom
3.497 0.000 0.000
0.000 9.170 0.000
-1.748 -4.585 11.507
ATOMIC_POSITIONS crystal
Sm 0.000 0.299 0.000
Sm 0.597 0.597 0.193
Sm 0.000 0.701 0.000
Sm 0.403 0.403 0.807
Dy 0.852 0.053 0.705
Dy 0.852 0.652 0.705
Dy 0.148 0.348 0.295
Dy 0.148 0.947 0.295
Dy 0.500 0.000 0.000
Ho 0.270 0.270 0.539
Ho 0.730 0.730 0.461
```

- Formation energy: 0.2628 eV/atom
- Theoretical density: 7.85 Mg/m³
- Volume: 369.0 Å³ per cell
- Offset from the most stable computed form: 0.168 eV per atom
- SG: Immm, No. 71

(10)
Density functional theory data (GGA-PBE) for an optimized crystal structure of Sm4DyHo5. Values from VASP.

```
&SYSTEM
  ibrav = 0, nat = 10, ntyp = 3
/
ATOMIC_SPECIES
Sm 150.36 Sm.upf
Dy 162.50 Dy.upf
Ho 164.93 Ho.upf
CELL_PARAMETERS angstrom
3.453 0.000 -0.701
-0.118 11.088 -0.581
-0.021 0.452 8.738
ATOMIC_POSITIONS crystal
Sm 0.655 0.250 0.310
Sm 0.970 0.250 0.940
Sm 0.345 0.750 0.690
Sm 0.030 0.750 0.060
Dy 0.500 0.000 0.000
Ho 0.173 0.551 0.347
Ho 0.174 0.948 0.348
Ho 0.826 0.052 0.652
Ho 0.500 0.500 0.000
Ho 0.827 0.449 0.653
```

- Formation energy: 0.1890 eV/atom
- Theoretical density: 7.87 Mg/m³
- Volume: 335.4 Å³ per cell
- Offset from the most stable computed form: 0.000 eV per atom
- SG: C2/m, No. 12

(11)
Density functional theory data (GGA-PBE) for an optimized crystal structure of Sm5DyHo3. Values from VASP.

```
&SYSTEM
  ibrav = 0, nat = 18, ntyp = 3
/
ATOMIC_SPECIES
Sm 150.36 Sm.upf
Dy 162.50 Dy.upf
Ho 164.93 Ho.upf
CELL_PARAMETERS angstrom
3.360 11.443 1.982
-3.360 11.443 1.982
0.000 7.209 8.992
ATOMIC_POSITIONS crystal
Sm 0.313 0.687 0.750
Sm 0.081 0.262 0.004
Sm 0.392 0.387 0.170
Sm 0.919 0.738 0.996
Sm 0.613 0.608 0.330
Sm 0.687 0.313 0.250
Sm 0.262 0.081 0.504
Sm 0.738 0.919 0.496
Sm 0.387 0.392 0.670
Sm 0.608 0.613 0.830
Dy 0.762 0.238 0.750
Dy 0.238 0.762 0.250
Ho 0.000 0.000 0.000
Ho 0.838 0.640 0.394
Ho 0.000 0.000 0.500
Ho 0.162 0.360 0.606
Ho 0.640 0.838 0.894
Ho 0.360 0.162 0.106
```

- Formation energy: 0.1769 eV/atom
- Theoretical density: 7.86 Mg/m³
- Volume: 595.4 Å³ per cell
- Offset from the most stable computed form: 0.000 eV per atom
- SG: C2/c, No. 15

(12)
Density functional theory data (GGA-PBE) for an optimized crystal structure of Sm5Dy3Ho4. Values from VASP.

```
&SYSTEM
  ibrav = 0, nat = 12, ntyp = 3
/
ATOMIC_SPECIES
Sm 150.36 Sm.upf
Dy 162.50 Dy.upf
Ho 164.93 Ho.upf
CELL_PARAMETERS angstrom
5.893 0.000 0.000
2.946 7.613 -2.763
2.946 -0.867 9.141
ATOMIC_POSITIONS crystal
Sm 0.625 0.952 0.799
Sm 0.500 0.500 0.500
Sm 0.212 0.462 0.114
Sm 0.788 0.538 0.886
Sm 0.375 0.048 0.201
Dy 0.520 0.688 0.272
Dy 0.000 0.500 0.500
Dy 0.480 0.312 0.728
Ho 0.859 0.222 0.061
Ho 0.163 0.051 0.622
Ho 0.837 0.949 0.378
Ho 0.141 0.778 0.939
```

- Formation energy: 0.2305 eV/atom
- Theoretical density: 7.96 Mg/m³
- Volume: 396.0 Å³ per cell
- Offset from the most stable computed form: 0.215 eV per atom
- SG: C2/m, No. 12